Rb2VOF6 | PBE+U | optimized geometry

abc: 6.252 6.252 6.417
angles: 60.84 60.84 90.00
Each line ends with the local moment (μB).
Element x y z (fractional)
1 F 0.198 0.198 0.603  0.02
2 F 0.802 0.802 0.397  0.02
3 F 0.215 0.215 0.000  0.02
4 F 0.785 0.785 0.000  0.02
5 F 0.785 0.215 0.000  0.02
6 F 0.215 0.785 0.000  0.02
7 O 0.500 0.500 0.000  1.51
8 Rb 0.750 0.250 0.500  0.00
9 Rb 0.250 0.750 0.500  0.00
10 V 0.000 0.000 0.000  -0.96

Results
calculated total energy	-0.3547	Ry/atom